No. 1
Entry from the Alexandria database: crystalline Sm2CuPt3 at its relaxed geometry (PBE).

Geometry as CIF:
```
data_Sm2CuPt3
_chemical_formula_sum 'Sm6 Cu3 Pt9'
_cell_length_a 5.5630
_cell_length_b 5.5630
_cell_length_c 12.7470
_cell_angle_alpha 90.00
_cell_angle_beta 90.00
_cell_angle_gamma 120.00
_space_group_name_H-M_alt 'R -3 m'
_space_group_IT_number 166
_space_group_name_Hall '-R 3 2"'
loop_
_atom_site_label
_atom_site_type_symbol
_atom_site_fract_x
_atom_site_fract_y
_atom_site_fract_z
Sm1 Sm 0.0000 0.0000 0.1262
Cu1 Cu 0.0000 0.0000 0.5000
Pt1 Pt 0.0000 0.5000 0.0000
```

total magnetic moment	0.00	μB/f.u.
calculated formation energy	-920.7	meV/atom

=====

No. 2
Entry from the Alexandria database: crystalline SmCu6Pt6 at its relaxed geometry (PBE).

Geometry as CIF:
```
data_SmCu6Pt6
_chemical_formula_sum 'Sm2 Cu12 Pt12'
_cell_length_a 5.015
_cell_length_b 8.712
_cell_length_c 8.910
_cell_angle_alpha 90.00
_cell_angle_beta 90.00
_cell_angle_gamma 90.00
_space_group_name_H-M_alt 'I m m m'
_space_group_IT_number 71
_space_group_name_Hall '-I 2 2'
loop_
_atom_site_label
_atom_site_type_symbol
_atom_site_fract_x
_atom_site_fract_y
_atom_site_fract_z
Sm1 Sm 0.000 0.000 0.000
Cu1 Cu 0.000 0.500 0.270
Cu2 Cu 0.250 0.250 0.250
Pt1 Pt 0.000 0.000 0.346
Pt2 Pt 0.000 0.295 0.500
Pt3 Pt 0.000 0.344 0.000
```

total magnetic moment	0.00	μB/f.u.
calculated formation energy	-357.4	meV/atom

=====

No. 3
Entry from the Alexandria database: crystalline SmCuPt2 at its relaxed geometry (PBE).

Geometry as CIF:
```
data_SmCuPt2
_chemical_formula_sum 'Sm9 Cu9 Pt18'
_cell_length_a 5.4939
_cell_length_b 5.4939
_cell_length_c 24.9819
_cell_angle_alpha 90.00
_cell_angle_beta 90.00
_cell_angle_gamma 120.00
_space_group_name_H-M_alt 'R -3 m'
_space_group_IT_number 166
_space_group_name_Hall '-R 3 2"'
loop_
_atom_site_label
_atom_site_type_symbol
_atom_site_fract_x
_atom_site_fract_y
_atom_site_fract_z
Sm1 Sm 0.0000 0.0000 0.0000
Sm2 Sm 0.0000 0.0000 0.1393
Cu1 Cu 0.0000 0.0000 0.3334
Cu2 Cu 0.0000 0.0000 0.5000
Pt1 Pt 0.0021 0.5010 0.9166
```

total magnetic moment	0.00	μB/f.u.
calculated formation energy	-825.9	meV/atom

=====

No. 4
Entry from the Alexandria database: crystalline Sm2Cu5Pt5 at its relaxed geometry (PBE).

Geometry as CIF:
```
data_Sm2Cu5Pt5
_chemical_formula_sum 'Sm2 Cu5 Pt5'
_cell_length_a 4.357
_cell_length_b 5.126
_cell_length_c 9.146
_cell_angle_alpha 90.00
_cell_angle_beta 90.00
_cell_angle_gamma 90.00
_space_group_name_H-M_alt 'P m m m'
_space_group_IT_number 47
_space_group_name_Hall '-P 2 2'
loop_
_atom_site_label
_atom_site_type_symbol
_atom_site_fract_x
_atom_site_fract_y
_atom_site_fract_z
Sm1 Sm 0.000 0.000 0.000
Sm2 Sm 0.000 0.500 0.500
Cu1 Cu 0.500 0.000 0.500
Cu2 Cu 0.500 0.250 0.256
Pt1 Pt 0.000 0.000 0.335
Pt2 Pt 0.000 0.500 0.176
Pt3 Pt 0.500 0.500 0.000
```

total magnetic moment	0.00	μB/f.u.
calculated formation energy	-591.6	meV/atom

=====

No. 5
Entry from the Alexandria database: crystalline Sm2CuPt2 at its relaxed geometry (PBE).

Geometry as CIF:
```
data_Sm2CuPt2
_chemical_formula_sum 'Sm8 Cu4 Pt8'
_cell_length_a 10.829
_cell_length_b 4.204
_cell_length_c 10.705
_cell_angle_alpha 90.00
_cell_angle_beta 117.79
_cell_angle_gamma 90.00
_space_group_name_H-M_alt 'C 1 2/m 1'
_space_group_IT_number 12
_space_group_name_Hall '-C 2y'
loop_
_atom_site_label
_atom_site_type_symbol
_atom_site_fract_x
_atom_site_fract_y
_atom_site_fract_z
Sm1 Sm 0.015 0.000 0.340
Sm2 Sm 0.186 0.000 0.108
Cu1 Cu 0.210 0.500 0.341
Pt1 Pt 0.037 0.500 0.887
Pt2 Pt 0.144 0.500 0.572
```

total magnetic moment	0.00	μB/f.u.
calculated formation energy	-901.4	meV/atom

=====

No. 6
Entry from the Alexandria database: crystalline Sm2CuSn3Pt4 at its relaxed geometry (PBE).

Geometry as CIF:
```
data_Sm2CuSn3Pt4
_chemical_formula_sum 'Sm2 Cu1 Sn3 Pt4'
_cell_length_a 4.403
_cell_length_b 4.403
_cell_length_c 11.078
_cell_angle_alpha 90.00
_cell_angle_beta 90.00
_cell_angle_gamma 90.00
_space_group_name_H-M_alt 'P -4 m 2'
_space_group_IT_number 115
_space_group_name_Hall 'P -4 -2'
loop_
_atom_site_label
_atom_site_type_symbol
_atom_site_fract_x
_atom_site_fract_y
_atom_site_fract_z
Sm1 Sm 0.000 0.500 0.234
Cu1 Cu 0.500 0.500 0.000
Sn1 Sn 0.000 0.000 0.000
Sn2 Sn 0.000 0.500 0.636
Pt1 Pt 0.000 0.000 0.500
Pt2 Pt 0.000 0.500 0.868
Pt3 Pt 0.500 0.500 0.500
```

total magnetic moment	0.00	μB/f.u.
calculated formation energy	-740.5	meV/atom

=====

No. 7
Entry from the Alexandria database: crystalline SmCuSnPt at its relaxed geometry (PBE).

Geometry as CIF:
```
data_SmCuSnPt
_chemical_formula_sum 'Sm4 Cu4 Sn4 Pt4'
_cell_length_a 6.822
_cell_length_b 6.822
_cell_length_c 6.822
_cell_angle_alpha 90.00
_cell_angle_beta 90.00
_cell_angle_gamma 90.00
_space_group_name_H-M_alt 'F -4 3 m'
_space_group_IT_number 216
_space_group_name_Hall 'F -4 2 3'
loop_
_atom_site_label
_atom_site_type_symbol
_atom_site_fract_x
_atom_site_fract_y
_atom_site_fract_z
Sm1 Sm 0.000 0.000 0.000
Cu1 Cu 0.250 0.250 0.750
Sn1 Sn 0.000 0.000 0.500
Pt1 Pt 0.250 0.250 0.250
```

total magnetic moment	0.00	μB/f.u.
calculated formation energy	-642.8	meV/atom

=====

No. 8
Entry from the Alexandria database: crystalline SmCuSnPt3 at its relaxed geometry (PBE).

Geometry as CIF:
```
data_SmCuSnPt3
_chemical_formula_sum 'Sm4 Cu4 Sn4 Pt12'
_cell_length_a 5.700
_cell_length_b 11.747
_cell_length_c 7.357
_cell_angle_alpha 90.00
_cell_angle_beta 90.00
_cell_angle_gamma 90.00
_space_group_name_H-M_alt 'C m c m'
_space_group_IT_number 63
_space_group_name_Hall '-C 2c 2'
loop_
_atom_site_label
_atom_site_type_symbol
_atom_site_fract_x
_atom_site_fract_y
_atom_site_fract_z
Sm1 Sm 0.000 0.170 0.250
Cu1 Cu 0.000 0.416 0.250
Sn1 Sn 0.000 0.129 0.750
Pt1 Pt 0.000 0.351 0.750
Pt2 Pt 0.250 0.000 0.000
```

total magnetic moment	0.00	μB/f.u.
calculated formation energy	-537.5	meV/atom

=====

No. 9
Entry from the Alexandria database: crystalline Sm2CuSn4Pt3 at its relaxed geometry (PBE).

Geometry as CIF:
```
data_Sm2CuSn4Pt3
_chemical_formula_sum 'Sm2 Cu1 Sn4 Pt3'
_cell_length_a 4.516
_cell_length_b 4.516
_cell_length_c 10.947
_cell_angle_alpha 90.00
_cell_angle_beta 90.00
_cell_angle_gamma 90.00
_space_group_name_H-M_alt 'P -4 m 2'
_space_group_IT_number 115
_space_group_name_Hall 'P -4 -2'
loop_
_atom_site_label
_atom_site_type_symbol
_atom_site_fract_x
_atom_site_fract_y
_atom_site_fract_z
Sm1 Sm 0.000 0.500 0.231
Cu1 Cu 0.500 0.500 0.000
Sn1 Sn 0.000 0.000 0.500
Sn2 Sn 0.000 0.500 0.871
Sn3 Sn 0.500 0.500 0.500
Pt1 Pt 0.000 0.000 0.000
Pt2 Pt 0.000 0.500 0.634
```

total magnetic moment	0.00	μB/f.u.
calculated formation energy	-727.4	meV/atom

=====

No. 10
Entry from the Alexandria database: crystalline SmThCuPt at its relaxed geometry (PBE).

Geometry as CIF:
```
data_SmThCuPt
_chemical_formula_sum 'Sm2 Th2 Cu2 Pt2'
_cell_length_a 4.408
_cell_length_b 3.871
_cell_length_c 11.211
_cell_angle_alpha 90.00
_cell_angle_beta 90.00
_cell_angle_gamma 90.00
_space_group_name_H-M_alt 'A m m 2'
_space_group_IT_number 38
_space_group_name_Hall 'A 2 -2'
loop_
_atom_site_label
_atom_site_type_symbol
_atom_site_fract_x
_atom_site_fract_y
_atom_site_fract_z
Sm1 Sm 0.000 0.000 0.000
Th1 Th 0.500 0.000 0.729
Cu1 Cu 0.500 0.000 0.440
Pt1 Pt 0.000 0.000 0.273
```

total magnetic moment	0.00	μB/f.u.
excess energy over the best structure of this formula in the dataset	0.000	eV/atom
calculated formation energy	-715.8	meV/atom

=====

No. 11
Entry from the Alexandria database: crystalline SmThCuPt at its relaxed geometry (PBE).

Geometry as CIF:
```
data_SmThCuPt
_chemical_formula_sum 'Sm4 Th4 Cu4 Pt4'
_cell_length_a 7.169
_cell_length_b 7.169
_cell_length_c 7.169
_cell_angle_alpha 90.00
_cell_angle_beta 90.00
_cell_angle_gamma 90.00
_space_group_name_H-M_alt 'F -4 3 m'
_space_group_IT_number 216
_space_group_name_Hall 'F -4 2 3'
loop_
_atom_site_label
_atom_site_type_symbol
_atom_site_fract_x
_atom_site_fract_y
_atom_site_fract_z
Sm1 Sm 0.000 0.000 0.000
Th1 Th 0.000 0.000 0.500
Cu1 Cu 0.250 0.250 0.750
Pt1 Pt 0.250 0.250 0.250
```

total magnetic moment	0.00	μB/f.u.
excess energy over the best structure of this formula in the dataset	0.122	eV/atom
calculated formation energy	-594.1	meV/atom

=====

No. 12
Entry from the Alexandria database: crystalline SmZnCuPt3 at its relaxed geometry (PBE).

Geometry as CIF:
```
data_SmZnCuPt3
_chemical_formula_sum 'Sm4 Zn4 Cu4 Pt12'
_cell_length_a 5.747
_cell_length_b 13.073
_cell_length_c 5.697
_cell_angle_alpha 90.00
_cell_angle_beta 90.00
_cell_angle_gamma 90.00
_space_group_name_H-M_alt 'C m c m'
_space_group_IT_number 63
_space_group_name_Hall '-C 2c 2'
loop_
_atom_site_label
_atom_site_type_symbol
_atom_site_fract_x
_atom_site_fract_y
_atom_site_fract_z
Sm1 Sm 0.000 0.177 0.250
Zn1 Zn 0.000 0.132 0.750
Cu1 Cu 0.000 0.383 0.250
Pt1 Pt 0.000 0.329 0.750
Pt2 Pt 0.246 0.000 0.000
```

total magnetic moment	0.00	μB/f.u.
calculated formation energy	-486.5	meV/atom